No. 1
{"formula": "EuLuHgPd", "functional": "GGA-PBE", "state": "optimized geometry", "cell": [[5.153, 0.000, 0.000], [2.576, 4.462, 0.000], [2.576, 1.487, 4.207]], "species": ["Hg", "Eu", "Pd", "Lu"], "fractional_positions": [[0.500, 0.500, 0.500], [0.250, 0.250, 0.250], [0.000, 0.000, 0.000], [0.750, 0.750, 0.750]], "vol_a3_per_atom": 24.2, "density_g_cm3": 10.88, "ef_ev_per_atom": -0.5649, "dos_ef_per_ev_atom": 2.2490}

No. 2
{"formula": "K2TlAu", "functional": "GGA-PBE", "state": "optimized geometry", "cell": [[11.721, 0.000, 0.000], [0.000, 11.721, 0.000], [5.861, 5.861, 2.757]], "species": ["Au", "Au", "Tl", "Tl", "K", "K", "K", "K"], "fractional_positions": [[0.500, 0.500, 0.000], [0.250, 0.750, 0.500], [0.750, 0.250, 0.500], [0.000, 0.000, 0.000], [0.375, 0.519, 0.750], [0.875, 0.731, 0.750], [0.481, 0.125, 0.250], [0.269, 0.625, 0.250]], "vol_a3_per_atom": 47.3, "density_g_cm3": 4.21, "ef_ev_per_atom": -0.0916, "dos_ef_per_ev_atom": 0.6857}

No. 3
{"formula": "Ac6Co3Pt", "functional": "GGA-PBE", "state": "optimized geometry", "cell": [[-3.863, -1.426, -0.848], [1.338, 3.285, -11.628], [3.771, -12.738, 4.244]], "species": ["Co", "Co", "Co", "Co", "Co", "Co", "Ac", "Ac", "Ac", "Ac", "Ac", "Ac", "Ac", "Ac", "Ac", "Ac", "Ac", "Ac", "Pt", "Pt"], "fractional_positions": [[0.250, 0.071, 0.163], [0.250, 0.229, 0.726], [0.250, 0.608, 0.443], [0.750, 0.392, 0.557], [0.750, 0.929, 0.837], [0.750, 0.771, 0.274], [0.750, 0.159, 0.066], [0.250, 0.653, 0.103], [0.250, 0.841, 0.934], [0.250, 0.329, 0.396], [0.250, 0.836, 0.431], [0.750, 0.164, 0.569], [0.750, 0.347, 0.897], [0.750, 0.526, 0.272], [0.250, 0.018, 0.763], [0.750, 0.671, 0.604], [0.750, 0.982, 0.237], [0.250, 0.474, 0.728], [0.250, 0.373, 0.074], [0.750, 0.627, 0.926]], "vol_a3_per_atom": 30.7, "density_g_cm3": 9.38, "ef_ev_per_atom": -0.2238, "dos_ef_per_ev_atom": 0.6886}